No. 1
A plane-wave DFT calculation with PBE+U was carried out for a geometry-optimized LiCo2P2O8 structure.

Unit cell a=5.1369 b=5.1369 c=6.8951 alpha=90.27 beta=90.27 gamma=97.45
Last column: nearest neighbours and their distance in Å.
Fractional coordinates of all 13 atoms:
Li  0.0000  0.0000  0.0000  4 O 2.06-2.15
Co  0.4817  0.5183  0.0000  4 O 1.85-1.88
Co  0.9934  0.0066  0.5000  4 O 1.97-2.02
P  0.4924  0.0106  0.7504  4 O 1.52-1.59
P  0.9894  0.5076  0.2496  4 O 1.52-1.59
O  0.2831  0.6142  0.2047  1 P 1.57
O  0.3694  0.0914  0.5627  1 P 1.52
O  0.3858  0.7169  0.7953  1 P 1.57
O  0.3941  0.1638  0.9308  1 P 1.59
O  0.7962  0.0543  0.7481  1 P 1.55
O  0.8362  0.6059  0.0692  1 P 1.59
O  0.9086  0.6306  0.4373  1 P 1.52
O  0.9457  0.2038  0.2519  1 P 1.55

Output
Energy relative to the lowest polymorph listed for this composition in eV/f.u.: 0.04
Total moment in μB/f.u.: 7.000
E_tot in eV/atom: -6.6640

No. 2
A plane-wave DFT calculation with PBE+U was carried out for a geometry-optimized LiCoP2O7 structure.

Unit cell a=5.0929 b=6.7947 c=8.1258 alpha=68.40 beta=87.33 gamma=87.77
Last column: nearest neighbours and their distance in Å.
Fractional coordinates of all 22 atoms:
Li  0.0000  0.0000  0.0000  4 O 1.93-2.12
Li  0.4982  0.3670  0.4390  4 O 2.11-2.18
Co  0.4803  0.9734  0.2782  5 O 1.88-2.09
Co  0.9563  0.4077  0.7364  5 O 1.90-2.11
P  0.9999  0.6361  0.3144  4 O 1.53-1.63
P  0.4362  0.7185  0.7011  4 O 1.52-1.61
P  0.4841  0.0750  0.8352  4 O 1.53-1.62
P  0.9566  0.2901  0.1830  4 O 1.52-1.61
O  0.1516  0.6545  0.6966  1 P 1.54
O  0.1645  0.1506  0.3045  1 P 1.53
O  0.2902  0.6701  0.3347  1 P 1.53
O  0.3059  0.2364  0.7009  1 P 1.53
O  0.4045  0.0394  0.0293  1 P 1.54
O  0.4230  0.8424  0.8364  2 P 1.61-1.62
O  0.5361  0.8778  0.5228  1 P 1.53
O  0.6201  0.5298  0.7825  1 P 1.52
O  0.6729  0.2394  0.2584  1 P 1.54
O  0.7772  0.1150  0.7907  1 P 1.53
O  0.8402  0.8418  0.2293  1 P 1.53
O  0.8664  0.4759  0.4814  1 P 1.54
O  0.9931  0.2910  0.9954  1 P 1.52
O  0.9971  0.5320  0.1630  2 P 1.61-1.63

Output
Energy relative to the lowest polymorph listed for this composition in eV/f.u.: 0.41
Total moment in μB/f.u.: 0.023
E_tot in eV/atom: -6.6984

No. 3
A plane-wave DFT calculation with PBE+U was carried out for a geometry-optimized Li2CoP2O7 structure.

Unit cell a=5.0807 b=5.0807 c=12.6150 alpha=98.23 beta=98.23 gamma=56.88
Last column: nearest neighbours and their distance in Å.
Fractional coordinates of all 24 atoms:
Li  0.2111  0.7889  0.5000  4 O 1.94-2.10
Li  0.4605  0.9655  0.1763  3 O 2.10-2.16
Li  0.7889  0.2111  0.0000  4 O 1.94-2.10
Li  0.9655  0.4605  0.6763  3 O 2.10-2.16
Co  0.3772  0.9059  0.8862  4 O 2.01-2.15
Co  0.9059  0.3772  0.3862  4 O 2.01-2.15
P  0.0946  0.5805  0.0370  4 O 1.52-1.66
P  0.2400  0.6368  0.2712  4 O 1.52-1.64
P  0.5805  0.0946  0.5370  4 O 1.52-1.66
P  0.6368  0.2400  0.7712  4 O 1.52-1.64
O  0.0205  0.7637  0.1591  2 P 1.64-1.66
O  0.0700  0.9168  0.3520  1 P 1.52
O  0.1698  0.2465  0.0444  1 P 1.54
O  0.2443  0.3446  0.2923  1 P 1.53
O  0.2465  0.1698  0.5444  1 P 1.54
O  0.3446  0.2443  0.7923  1 P 1.53
O  0.3686  0.5877  0.0043  1 P 1.53
O  0.5670  0.5674  0.2541  1 P 1.54
O  0.5674  0.5670  0.7541  1 P 1.54
O  0.5877  0.3686  0.5043  1 P 1.53
O  0.7637  0.0205  0.6591  2 P 1.64-1.66
O  0.7768  0.8008  0.9793  1 P 1.52
O  0.8008  0.7768  0.4793  1 P 1.52
O  0.9168  0.0700  0.8520  1 P 1.52

Output
Energy relative to the lowest polymorph listed for this composition in eV/f.u.: 0.61
Total moment in μB/f.u.: 3.002
E_tot in eV/atom: -6.6140

No. 4
A plane-wave DFT calculation with PBE+U was carried out for a geometry-optimized LiCoP2O7 structure.

Unit cell a=5.2312 b=5.2312 c=4.5165 alpha=97.85 beta=97.85 gamma=103.27
Last column: nearest neighbours and their distance in Å.
Fractional coordinates of all 11 atoms:
Li  0.0000  0.0000  0.0000  4 O 2.08-2.13
Co  0.6292  0.3708  0.0000  6 O 2.00-2.02
P  0.0822  0.4959  0.5893  4 O 1.52-1.61
P  0.5041  0.9178  0.4107  4 O 1.52-1.61
O  0.2242  0.7758  0.5000  2 P 1.61
O  0.2849  0.3713  0.7474  1 P 1.52
O  0.4106  0.1014  0.1999  1 P 1.55
O  0.6287  0.7151  0.2526  1 P 1.52
O  0.6835  0.0634  0.7131  1 P 1.54
O  0.8986  0.5894  0.8001  1 P 1.55
O  0.9366  0.3165  0.2869  1 P 1.54

Output
Energy relative to the lowest polymorph listed for this composition in eV/f.u.: 0.25
Total moment in μB/f.u.: 3.948
E_tot in eV/atom: -6.7135